Compound: Ac2Pr12Nd5
Source: Alexandria via LeMat-Bulk
Functional: PBE
Structure: optimized geometry

Properties
Space-group type: No. 12
Excess energy over the best structure of this formula in the dataset: 7 meV/atom
Density: 6.75 Mg/m³

a = 11.9548 Å, b = 9.0384 Å, c = 9.7529 Å
α = 70.19°, β = 90.00°, γ = 131.40°
Last column: nearest neighbours and their distance in Å.
Fractional coordinates of all 19 atoms:
Ac 0.2652 0.0000 0.0000  10 Pr 3.73-3.97, 2 Nd 3.82
Ac 0.7348 0.0000 0.0000  10 Pr 3.73-3.97, 2 Nd 3.82
Nd 0.1904 0.3808 0.6712  6 Pr 3.44-3.78, 2 Nd 3.65-3.77
Nd 0.0000 0.0000 0.5000  4 Nd 3.65-3.78, 6 Pr 3.85-3.88
Nd 0.3082 0.6163 0.2395  6 Pr 3.45-3.65, 2 Nd 3.77-3.78, 2 Ac 3.82
Nd 0.8096 0.6192 0.3288  6 Pr 3.44-3.78, 2 Nd 3.65-3.77
Nd 0.6918 0.3837 0.7605  6 Pr 3.45-3.65, 2 Nd 3.77-3.78, 2 Ac 3.82
Pr 0.0544 0.6194 0.8032  5 Pr 3.36-3.66, 1 Nd 3.45, 1 Ac 3.75
Pr 0.5650 0.6194 0.8032  5 Pr 3.36-3.66, 1 Nd 3.45, 1 Ac 3.75
Pr 0.1273 0.2545 0.0547  2 Nd 3.44-3.64, 3 Pr 3.50-3.72, 2 Ac 3.76
Pr 0.4350 0.3806 0.1968  5 Pr 3.36-3.66, 1 Nd 3.45, 1 Ac 3.75
Pr 0.5749 0.1497 0.2255  5 Pr 3.38-3.72, 2 Nd 3.56-3.75
Pr 0.4251 0.8503 0.7745  5 Pr 3.38-3.72, 2 Nd 3.56-3.75
Pr 0.1713 0.7828 0.4255  4 Pr 3.36-3.66, 1 Nd 3.65, 1 Ac 3.73
Pr 0.3885 0.2172 0.5745  4 Pr 3.36-3.66, 1 Nd 3.65, 1 Ac 3.73
Pr 0.8727 0.7455 0.9453  2 Nd 3.44-3.64, 3 Pr 3.50-3.72, 2 Ac 3.76
Pr 0.6115 0.7828 0.4255  4 Pr 3.36-3.66, 1 Nd 3.65, 1 Ac 3.73
Pr 0.8287 0.2172 0.5745  4 Pr 3.36-3.66, 1 Nd 3.65, 1 Ac 3.73
Pr 0.9456 0.3806 0.1968  5 Pr 3.36-3.66, 1 Nd 3.45, 1 Ac 3.75

---

Compound: Ac5Pr4Nd2
Source: Alexandria via LeMat-Bulk
Functional: PBE
Structure: optimized geometry

Properties
Space-group type: No. 10
Excess energy over the best structure of this formula in the dataset: 0 meV/atom
Density: 7.38 Mg/m³

a = 3.7340 Å, b = 12.7083 Å, c = 16.0763 Å
α = 144.12°, β = 90.00°, γ = 90.00°
Last column: nearest neighbours and their distance in Å.
Fractional coordinates of all 11 atoms:
Ac 0.0000 0.4038 0.7192  2 Nd 3.54-3.86, 4 Ac 3.60-3.73, 4 Pr 3.80-3.95
Ac 0.0000 0.5962 0.2808  2 Nd 3.54-3.86, 4 Ac 3.60-3.73, 4 Pr 3.80-3.95
Ac 0.0000 0.5000 0.0000  2 Nd 3.59, 4 Ac 3.60-3.73, 4 Pr 3.93
Ac 0.0000 0.7757 0.8024  4 Ac 3.73-3.76, 8 Pr 3.85-4.17
Ac 0.0000 0.2243 0.1976  4 Ac 3.73-3.76, 8 Pr 3.85-4.17
Pr 0.5000 0.1567 0.9246  3 Pr 3.73-3.78, 2 Nd 3.79, 8 Ac 3.92-4.17
Pr 0.5000 0.3189 0.4629  2 Nd 3.69, 4 Pr 3.70-3.78, 6 Ac 3.80-3.95
Pr 0.5000 0.6811 0.5371  2 Nd 3.69, 4 Pr 3.70-3.78, 6 Ac 3.80-3.95
Pr 0.5000 0.8433 0.0754  3 Pr 3.73-3.78, 2 Nd 3.79, 8 Ac 3.92-4.17
Nd 0.0000 0.0313 0.6478  3 Ac 3.54-3.86, 4 Pr 3.69-3.79, 2 Nd 3.73
Nd 0.0000 0.9687 0.3522  3 Ac 3.54-3.86, 4 Pr 3.69-3.79, 2 Nd 3.73

---

Compound: AcPr8Nd2
Source: Alexandria via LeMat-Bulk
Functional: PBE
Structure: optimized geometry

Properties
Space-group type: No. 12
Excess energy over the best structure of this formula in the dataset: 18 meV/atom
Density: 6.68 Mg/m³

a = 6.0861 Å, b = 10.2665 Å, c = 10.2665 Å
α = 39.52°, β = 89.95°, γ = 89.95°
Last column: nearest neighbours and their distance in Å.
Fractional coordinates of all 11 atoms:
Pr 0.4996 0.3271 0.8544  5 Pr 3.28-3.66, 1 Nd 3.34
Pr 0.5004 0.6729 0.1456  5 Pr 3.28-3.66, 1 Nd 3.34
Pr 0.9999 0.3927 0.3927  7 Pr 3.56-3.96, 2 Nd 3.91-3.93
Pr 0.9980 0.1878 0.1878  2 Nd 3.39, 1 Ac 3.63
Pr 0.4996 0.8544 0.3271  5 Pr 3.28-3.66, 1 Nd 3.34
Pr 0.5004 0.1456 0.6729  5 Pr 3.28-3.66, 1 Nd 3.34
Pr 0.0020 0.8122 0.8122  2 Nd 3.39, 1 Ac 3.63
Pr 0.0001 0.6073 0.6073  7 Pr 3.56-3.96, 2 Nd 3.91-3.93
Ac 0.0000 0.0000 0.0000  14 Pr 3.63-4.04
Nd 0.5022 0.7350 0.7350  4 Pr 3.34-3.39, 2 Nd 3.52
Nd 0.4978 0.2650 0.2650  4 Pr 3.34-3.39, 2 Nd 3.52

---

Compound: Ac3Pr8Nd3
Source: Alexandria via LeMat-Bulk
Functional: PBE
Structure: optimized geometry

Properties
Space-group type: No. 71
DFT total energy: -63.3 eV per cell
Density: 6.95 Mg/m³

a = 5.9259 Å, b = 10.2141 Å, c = 10.2141 Å
α = 102.26°, β = 73.14°, γ = 73.14°
Last column: nearest neighbours and their distance in Å.
Fractional coordinates of all 14 atoms:
Ac 0.1841 0.8159 0.8159  1 Ac 3.59, 4 Nd 3.63-3.70, 6 Pr 3.81-3.99
Ac 0.5000 0.5000 0.5000  2 Ac 3.59, 12 Pr 3.87-4.01
Ac 0.8159 0.1841 0.1841  1 Ac 3.59, 4 Nd 3.63-3.70, 6 Pr 3.81-3.99
Pr 0.6598 0.1156 0.5649  6 Pr 3.39-3.69, 2 Nd 3.72
Pr 0.3402 0.8844 0.4351  6 Pr 3.39-3.69, 2 Nd 3.72
Pr 0.3402 0.4351 0.8844  6 Pr 3.39-3.69, 2 Nd 3.72
Pr 0.8364 0.7670 0.5602  4 Pr 3.29-3.54
Pr 0.8364 0.5602 0.7670  4 Pr 3.29-3.54
Pr 0.6598 0.5649 0.1156  6 Pr 3.39-3.69, 2 Nd 3.72
Pr 0.1636 0.2330 0.4398  4 Pr 3.29-3.54
Pr 0.1636 0.4398 0.2330  4 Pr 3.29-3.54
Nd 0.0000 0.8084 0.1916  2 Ac 3.70, 8 Pr 3.72-3.90
Nd 0.5000 0.0000 0.0000  4 Ac 3.63
Nd 0.0000 0.1916 0.8084  2 Ac 3.70, 8 Pr 3.72-3.90

---

Compound: AcPr2Nd7
Source: Alexandria via LeMat-Bulk
Functional: PBE
Structure: optimized geometry

Properties
Space-group type: No. 65
Excess energy over the best structure of this formula in the dataset: 224 meV/atom
Density: 5.90 Mg/m³

a = 5.7426 Å, b = 9.4213 Å, c = 9.4213 Å
α = 123.06°, β = 90.00°, γ = 90.00°
Last column: nearest neighbours and their distance in Å.
Fractional coordinates of all 10 atoms:
Pr 0.5000 0.2985 0.7015  7 Nd 3.07-3.42
Pr 0.5000 0.7015 0.2985  7 Nd 3.07-3.42
Nd 0.0000 0.7670 0.2330  2 Pr 3.07
Nd 0.5000 0.9357 0.7021  2 Pr 3.19-3.42, 2 Nd 3.25-3.46
Nd 0.5000 0.7022 0.9357  2 Pr 3.19-3.42, 2 Nd 3.25-3.46
Nd 0.5000 0.0643 0.2979  2 Pr 3.19-3.42, 2 Nd 3.25-3.46
Nd 0.0000 0.2330 0.7670  2 Pr 3.07
Nd 0.5000 0.2978 0.0643  2 Pr 3.19-3.42, 2 Nd 3.25-3.46
Nd 0.5000 0.5000 0.5000  2 Pr 3.34, 4 Nd 3.46
Ac 0.0000 0.0000 0.0000  10 Nd 3.83-3.86

---

Compound: AcPr6Nd8
Source: Alexandria via LeMat-Bulk
Functional: PBE
Structure: optimized geometry

Properties
Space-group type: No. 148
Excess energy over the best structure of this formula in the dataset: 24 meV/atom
Density: 6.73 Mg/m³

a = 8.5571 Å, b = 8.5571 Å, c = 8.5571 Å
α = 71.83°, β = 71.83°, γ = 71.83°
Last column: nearest neighbours and their distance in Å.
Fractional coordinates of all 15 atoms:
Nd 0.2306 0.2306 0.2306  6 Nd 3.45-3.64
Nd 0.6119 0.9425 0.1430  3 Nd 3.30-3.64, 1 Ac 3.30, 4 Pr 3.51-3.58
Nd 0.8570 0.3881 0.0575  3 Nd 3.30-3.64, 1 Ac 3.30, 4 Pr 3.51-3.58
Nd 0.9425 0.1430 0.6119  3 Nd 3.30-3.64, 1 Ac 3.30, 4 Pr 3.51-3.58
Nd 0.7694 0.7694 0.7694  6 Nd 3.45-3.64
Nd 0.3881 0.0575 0.8570  3 Nd 3.30-3.64, 1 Ac 3.30, 4 Pr 3.51-3.58
Nd 0.1430 0.6119 0.9425  3 Nd 3.30-3.64, 1 Ac 3.30, 4 Pr 3.51-3.58
Nd 0.0575 0.8570 0.3881  3 Nd 3.30-3.64, 1 Ac 3.30, 4 Pr 3.51-3.58
Pr 0.1684 0.4265 0.6201  6 Nd 3.51-3.91, 1 Pr 3.73
Pr 0.4265 0.6201 0.1684  6 Nd 3.51-3.91, 1 Pr 3.73
Pr 0.3799 0.8316 0.5735  6 Nd 3.51-3.91, 1 Pr 3.73
Pr 0.8316 0.5735 0.3799  6 Nd 3.51-3.91, 1 Pr 3.73
Pr 0.6201 0.1684 0.4265  6 Nd 3.51-3.91, 1 Pr 3.73
Pr 0.5735 0.3799 0.8316  6 Nd 3.51-3.91, 1 Pr 3.73
Ac 0.0000 0.0000 0.0000  6 Nd 3.30

---

Compound: AcPr6Nd8
Source: Alexandria via LeMat-Bulk
Functional: PBE
Structure: optimized geometry

Properties
Space-group type: No. 148
Excess energy over the best structure of this formula in the dataset: 0 meV/atom
Density: 6.72 Mg/m³

a = 9.6063 Å, b = 9.6063 Å, c = 8.8377 Å
α = 57.08°, β = 57.08°, γ = 60.00°
Last column: nearest neighbours and their distance in Å.
Fractional coordinates of all 15 atoms:
Nd 0.6497 0.7736 0.4947  7 Nd 3.54-3.85, 3 Pr 3.58-3.77
Nd 0.7736 0.0820 0.4947  7 Nd 3.54-3.85, 3 Pr 3.58-3.77
Nd 0.5712 0.5712 0.2863  1 Nd 2.94, 3 Pr 3.29
Nd 0.0820 0.6497 0.4947  7 Nd 3.54-3.85, 3 Pr 3.58-3.77
Nd 0.3503 0.2264 0.5053  7 Nd 3.54-3.85, 3 Pr 3.58-3.77
Nd 0.4288 0.4288 0.7137  1 Nd 2.94, 3 Pr 3.29
Nd 0.9180 0.3503 0.5053  7 Nd 3.54-3.85, 3 Pr 3.58-3.77
Nd 0.2264 0.9180 0.5053  7 Nd 3.54-3.85, 3 Pr 3.58-3.77
Pr 0.8943 0.7304 0.9272  3 Nd 3.29-3.58, 1 Pr 3.61, 1 Ac 3.65
Pr 0.2696 0.5520 0.0728  3 Nd 3.29-3.58, 1 Pr 3.61, 1 Ac 3.65
Pr 0.1057 0.2696 0.0728  3 Nd 3.29-3.58, 1 Pr 3.61, 1 Ac 3.65
Pr 0.5520 0.1057 0.0728  3 Nd 3.29-3.58, 1 Pr 3.61, 1 Ac 3.65
Pr 0.7304 0.4480 0.9272  3 Nd 3.29-3.58, 1 Pr 3.61, 1 Ac 3.65
Pr 0.4480 0.8943 0.9272  3 Nd 3.29-3.58, 1 Pr 3.61, 1 Ac 3.65
Ac 0.0000 0.0000 0.0000  6 Pr 3.65, 6 Nd 4.02

---

Compound: Ac6Pr2Nd
Source: Alexandria via LeMat-Bulk
Functional: PBE
Structure: optimized geometry

Properties
Space-group type: No. 12
DFT total energy: -38.3 eV per cell
Density: 7.89 Mg/m³

a = 7.2740 Å, b = 7.2740 Å, c = 7.2164 Å
α = 95.11°, β = 95.11°, γ = 96.24°
Last column: nearest neighbours and their distance in Å.
Fractional coordinates of all 9 atoms:
Ac 0.6651 0.5051 0.8206  2 Pr 3.54-3.74, 3 Ac 3.68-3.84
Ac 0.3349 0.4949 0.1794  2 Pr 3.54-3.74, 3 Ac 3.68-3.84
Ac 0.0051 0.1651 0.8206  2 Pr 3.54-3.74, 3 Ac 3.68-3.84
Ac 0.1702 0.6702 0.6723  1 Nd 3.72, 9 Ac 3.86-4.10, 2 Pr 3.96
Ac 0.9949 0.8349 0.1794  2 Pr 3.54-3.74, 3 Ac 3.68-3.84
Ac 0.8298 0.3298 0.3277  1 Nd 3.72, 9 Ac 3.86-4.10, 2 Pr 3.96
Nd 0.5000 0.0000 0.0000  10 Ac 3.72-4.10, 4 Pr 3.98
Pr 0.6541 0.8459 0.5000  1 Pr 3.34, 4 Ac 3.54-3.74
Pr 0.3459 0.1541 0.5000  1 Pr 3.34, 4 Ac 3.54-3.74

---

Compound: Ac8Pr2Nd
Source: Alexandria via LeMat-Bulk
Functional: PBE
Structure: optimized geometry

Properties
Space-group type: No. 12
Excess energy over the best structure of this formula in the dataset: 0 meV/atom
Density: 7.83 Mg/m³

a = 6.0344 Å, b = 9.1070 Å, c = 10.2288 Å
α = 116.42°, β = 107.11°, γ = 90.00°
Last column: nearest neighbours and their distance in Å.
Fractional coordinates of all 11 atoms:
Nd 0.5000 0.0000 0.0000  8 Ac 3.61-4.04
Ac 0.3592 0.5671 0.7182  1 Nd 3.61, 3 Pr 3.70-3.83, 6 Ac 3.79-4.04
Ac 0.8400 0.8401 0.6805  8 Ac 3.85-4.04, 2 Pr 3.87-3.88, 2 Nd 4.09
Ac 0.6408 0.4329 0.2818  1 Nd 3.61, 3 Pr 3.70-3.83, 6 Ac 3.79-4.04
Ac 0.1600 0.1599 0.3195  8 Ac 3.85-4.04, 2 Pr 3.87-3.88, 2 Nd 4.09
Ac 0.0001 0.7052 0.0002  7 Ac 3.74-3.88, 2 Pr 3.93, 2 Nd 4.04
Ac 0.6410 0.8494 0.2823  1 Nd 3.61, 3 Pr 3.70-3.83, 6 Ac 3.79-4.04
Ac 0.9999 0.2948 0.9998  7 Ac 3.74-3.88, 2 Pr 3.93, 2 Nd 4.04
Ac 0.3590 0.1506 0.7177  1 Nd 3.61, 3 Pr 3.70-3.83, 6 Ac 3.79-4.04
Pr 0.1991 0.6995 0.3996  10 Ac 3.70-3.93
Pr 0.8009 0.3005 0.6004  10 Ac 3.70-3.93

---

Compound: AcPr10Nd6
Source: Alexandria via LeMat-Bulk
Functional: PBE
Structure: optimized geometry

Properties
Space-group type: No. 162
DFT total energy: -78.4 eV per cell
Density: 6.62 Mg/m³

a = 7.1270 Å, b = 10.0844 Å, c = 10.0844 Å
α = 120.00°, β = 90.00°, γ = 90.00°
Last column: nearest neighbours and their distance in Å.
Fractional coordinates of all 17 atoms:
Pr 0.1740 0.2788 0.2788  5 Nd 3.52-3.80, 1 Ac 3.65, 4 Pr 3.75-3.87
Pr 0.1740 0.0000 0.7212  5 Nd 3.52-3.80, 1 Ac 3.65, 4 Pr 3.75-3.87
Pr 0.0000 0.6667 0.3333  8 Pr 3.56-3.87, 6 Nd 3.87
Pr 0.8260 0.2788 0.0000  5 Nd 3.52-3.80, 1 Ac 3.65, 4 Pr 3.75-3.87
Pr 0.5000 0.6667 0.3333  6 Nd 3.46, 2 Pr 3.56
Pr 0.1740 0.7212 0.0000  5 Nd 3.52-3.80, 1 Ac 3.65, 4 Pr 3.75-3.87
Pr 0.0000 0.3333 0.6667  8 Pr 3.56-3.87, 6 Nd 3.87
Pr 0.8260 0.7212 0.7212  5 Nd 3.52-3.80, 1 Ac 3.65, 4 Pr 3.75-3.87
Pr 0.5000 0.3333 0.6667  6 Nd 3.46, 2 Pr 3.56
Pr 0.8260 0.0000 0.2788  5 Nd 3.52-3.80, 1 Ac 3.65, 4 Pr 3.75-3.87
Nd 0.6907 0.6271 0.0000  9 Pr 3.46-3.87, 1 Nd 3.74
Nd 0.6907 0.3729 0.3729  9 Pr 3.46-3.87, 1 Nd 3.74
Nd 0.3093 0.6271 0.6271  9 Pr 3.46-3.87, 1 Nd 3.74
Nd 0.6907 0.0000 0.6271  9 Pr 3.46-3.87, 1 Nd 3.74
Nd 0.3093 0.0000 0.3729  9 Pr 3.46-3.87, 1 Nd 3.74
Nd 0.3093 0.3729 0.0000  9 Pr 3.46-3.87, 1 Nd 3.74
Ac 0.5000 0.0000 0.0000  6 Pr 3.65, 6 Nd 4.00

---

Compound: Ac8Pr3Nd
Source: Alexandria via LeMat-Bulk
Functional: PBE
Structure: optimized geometry

Properties
Space-group type: No. 44
DFT total energy: -51.5 eV per cell
Density: 7.80 Mg/m³

a = 9.2896 Å, b = 9.2896 Å, c = 9.2986 Å
α = 94.54°, β = 100.83°, γ = 137.12°
Last column: nearest neighbours and their distance in Å.
Fractional coordinates of all 12 atoms:
Pr 0.8250 0.3250 0.5000  2 Pr 3.82, 10 Ac 3.83-4.00
Pr 0.5087 0.7584 0.2498  1 Nd 3.82, 1 Pr 3.82, 10 Ac 3.82-4.00
Pr 0.5086 0.2589 0.7502  1 Nd 3.82, 1 Pr 3.82, 10 Ac 3.82-4.00
Ac 0.1574 0.2445 0.4122  4 Pr 3.82-4.00, 7 Ac 3.85-3.98, 1 Nd 3.87
Ac 0.5008 0.8379 0.6628  4 Pr 3.83-3.98, 7 Ac 3.86-3.98, 1 Nd 3.99
Ac 0.5010 0.3383 0.1625  2 Nd 3.83-3.98, 7 Ac 3.85-3.98, 3 Pr 3.87-4.00
Ac 0.1751 0.8380 0.3372  4 Pr 3.83-3.98, 7 Ac 3.86-3.98, 1 Nd 3.99
Ac 0.1758 0.3385 0.8375  2 Nd 3.83-3.98, 7 Ac 3.85-3.98, 3 Pr 3.87-4.00
Ac 0.8324 0.7453 0.5878  4 Pr 3.82-4.00, 7 Ac 3.85-3.98, 1 Nd 3.87
Ac 0.1574 0.7451 0.9128  4 Pr 3.82-4.00, 7 Ac 3.85-3.98, 1 Nd 3.87
Ac 0.8323 0.2446 0.0872  4 Pr 3.82-4.00, 7 Ac 3.85-3.98, 1 Nd 3.87
Nd 0.8256 0.8256 0.0000  2 Pr 3.82, 10 Ac 3.83-3.99

---

Compound: AcPr4Nd8
Source: Alexandria via LeMat-Bulk
Functional: PBE
Structure: optimized geometry

Properties
Space-group type: No. 166
DFT total energy: -55.2 eV per cell
Density: 6.17 Mg/m³

a = 11.4778 Å, b = 11.4778 Å, c = 8.0612 Å
α = 90.00°, β = 135.39°, γ = 120.00°
Last column: nearest neighbours and their distance in Å.
Fractional coordinates of all 13 atoms:
Pr 0.0000 0.0000 0.0000  8 Nd 3.24-3.32
Pr 0.5000 0.0000 0.0000  8 Nd 3.54-3.58
Pr 0.0000 0.5000 0.0000  8 Nd 3.54-3.58
Pr 0.5000 0.5000 0.0000  8 Nd 3.54-3.58
Nd 0.0098 0.7663 0.7762  4 Pr 3.32-3.57, 1 Ac 3.69
Nd 0.5327 0.7664 0.7762  4 Pr 3.32-3.57, 1 Ac 3.69
Nd 0.9901 0.7565 0.2238  4 Pr 3.32-3.57, 1 Ac 3.69
Nd 0.4673 0.2336 0.2238  4 Pr 3.32-3.57, 1 Ac 3.69
Nd 0.5294 0.7647 0.2941  4 Pr 3.24-3.58
Nd 0.0099 0.2435 0.7762  4 Pr 3.32-3.57, 1 Ac 3.69
Nd 0.9902 0.2337 0.2238  4 Pr 3.32-3.57, 1 Ac 3.69
Nd 0.4706 0.2353 0.7059  4 Pr 3.24-3.58
Ac 0.0000 0.5000 0.5000  8 Nd 3.65-3.69, 6 Pr 4.03